VASP calculation (meta-GGA SCAN) on a crystal of Sb2AuSe2 relaxed with PBEsol.

Density of states at the Fermi level   0.51 states/eV/atom
Crystal system   tetragonal
Total DFT energy (no corrections)   -1.33832 Ha/atom
Raw formation energy   350 meV/atom

a = 7.865 Å, b = 7.865 Å, c = 3.703 Å
α = 90.00°, β = 90.00°, γ = 90.00°
Atoms (fractional coordinates):
Sb (0.166, 0.334, 0.000)
Sb (0.334, 0.834, 0.000)
Sb (0.666, 0.166, 0.000)
Sb (0.834, 0.666, 0.000)
Au (0.000, 0.000, 0.500)
Au (0.500, 0.500, 0.500)
Se (0.148, 0.648, 0.500)
Se (0.352, 0.148, 0.500)
Se (0.648, 0.852, 0.500)
Se (0.852, 0.352, 0.500)